{"formula": "Rb2WSF6", "functional": "PBE with a Hubbard U", "state": "relaxed", "lattice_angstrom": [[7.331, 0.000, 0.000], [0.000, 7.331, 0.000], [3.666, 3.666, 4.704]], "species": ["F", "F", "F", "F", "F", "F", "Rb", "Rb", "S", "W"], "frac_coords": [[0.189, 0.189, 0.000], [0.189, 0.811, 0.000], [0.811, 0.189, 0.000], [0.811, 0.811, 0.000], [0.202, 0.202, 0.595], [0.798, 0.798, 0.405], [0.250, 0.750, 0.500], [0.750, 0.250, 0.500], [0.500, 0.500, 0.000], [0.000, 0.000, 0.000]], "e_tot_ev_per_atom": -4.595}